Record 1
Entry from Alexandria: a relaxed BaNi crystal (GGA-PBE).

Computed properties:
**Theoretical density**: 4.9 g cm⁻³
**Final energy**: -46.47 eV per cell
**ΔE_f**: -2.0 kJ per mole of atoms

The structure in CIF format:
```
data_BaNi
_chemical_formula_sum 'Ba6 Ni6'
_space_group_name_H-M_alt 'R -3 m'
_space_group_IT_number 166
_space_group_name_Hall '-R 3 2"'
_cell_length_a 4.2668
_cell_length_b 4.2668
_cell_length_c 25.2488
_cell_angle_alpha 90.00
_cell_angle_beta 90.00
_cell_angle_gamma 120.00
loop_
_atom_site_label
_atom_site_fract_x
_atom_site_fract_y
_atom_site_fract_z
_atom_site_occupancy
Ba1 0.0000 0.0000 0.0819 1
Ni1 0.0000 0.0000 0.3332 1
```

***

Record 2
Entry from Alexandria: a relaxed CrCo2Pt9 crystal (GGA-PBE).

Computed properties:
**Theoretical density**: 18.0 g cm⁻³
**Final energy**: -79.71 eV per cell
**ΔE_f**: -12.1 kJ per mole of atoms

The structure in CIF format:
```
data_CrCo2Pt9
_chemical_formula_sum 'Cr1 Co2 Pt9'
_space_group_name_H-M_alt 'P 4/m m m'
_space_group_IT_number 123
_space_group_name_Hall '-P 4 2'
_cell_length_a 3.895
_cell_length_b 3.895
_cell_length_c 11.715
_cell_angle_alpha 90.00
_cell_angle_beta 90.00
_cell_angle_gamma 90.00
loop_
_atom_site_label
_atom_site_fract_x
_atom_site_fract_y
_atom_site_fract_z
_atom_site_occupancy
Cr1 0.000 0.000 0.000 1
Co1 0.000 0.000 0.337 1
Pt1 0.000 0.500 0.168 1
Pt2 0.000 0.500 0.500 1
Pt3 0.500 0.500 0.000 1
Pt4 0.500 0.500 0.334 1
```

***

Record 3
Entry from Alexandria: a relaxed TaMnCo2 crystal (GGA-PBE).

Computed properties:
**Theoretical density**: 11.5 g cm⁻³
**Final energy**: -35.83 eV per cell
**Excess energy over the best structure of this formula in the dataset**: 0.0 meV per atom
**ΔE_f**: -14.4 kJ per mole of atoms

The structure in CIF format:
```
data_TaMnCo2
_chemical_formula_sum 'Ta1 Mn1 Co2'
_space_group_name_H-M_alt 'P 4/m m m'
_space_group_IT_number 123
_space_group_name_Hall '-P 4 2'
_cell_length_a 3.868
_cell_length_b 3.868
_cell_length_c 3.417
_cell_angle_alpha 90.00
_cell_angle_beta 90.00
_cell_angle_gamma 90.00
loop_
_atom_site_label
_atom_site_fract_x
_atom_site_fract_y
_atom_site_fract_z
_atom_site_occupancy
Ta1 0.000 0.000 0.000 1
Mn1 0.500 0.500 0.000 1
Co1 0.000 0.500 0.500 1
```

***

Record 4
Entry from Alexandria: a relaxed Ti5ZnFe2Rh2 crystal (GGA-PBE).

Computed properties:
**Theoretical density**: 6.9 g cm⁻³
**Final energy**: -148.42 eV per cell
**ΔE_f**: -17.7 kJ per mole of atoms

The structure in CIF format:
```
data_Ti5ZnFe2Rh2
_chemical_formula_sum 'Ti10 Zn2 Fe4 Rh4'
_space_group_name_H-M_alt 'P 4/m b m'
_space_group_IT_number 127
_space_group_name_Hall '-P 4 2ab'
_cell_length_a 9.906
_cell_length_b 9.906
_cell_length_c 3.070
_cell_angle_alpha 90.00
_cell_angle_beta 90.00
_cell_angle_gamma 90.00
loop_
_atom_site_label
_atom_site_fract_x
_atom_site_fract_y
_atom_site_fract_z
_atom_site_occupancy
Ti1 0.000 0.500 0.000 1
Ti2 0.093 0.199 0.000 1
Zn1 0.000 0.000 0.500 1
Fe1 0.129 0.371 0.500 1
Rh1 0.167 0.667 0.500 1
```

***

Record 5
Entry from Alexandria: a relaxed Sn2BO4 crystal (GGA-PBE).

Computed properties:
**Theoretical density**: 4.3 g cm⁻³
**Final energy**: -87.96 eV per cell
**Raw formation energy**: -1.352 eV per atom

The structure in CIF format:
```
data_Sn2BO4
_chemical_formula_sum 'Sn4 B2 O8'
_space_group_name_H-M_alt 'C 1 m 1'
_space_group_IT_number 8
_space_group_name_Hall 'C -2y'
_cell_length_a 6.822
_cell_length_b 10.611
_cell_length_c 4.300
_cell_angle_alpha 90.00
_cell_angle_beta 128.83
_cell_angle_gamma 90.00
loop_
_atom_site_label
_atom_site_fract_x
_atom_site_fract_y
_atom_site_fract_z
_atom_site_occupancy
Sn1 0.000 0.200 0.000 1
B1 0.050 0.500 0.548 1
O1 0.107 0.235 0.608 1
O2 0.294 0.500 0.793 1
O3 0.314 0.000 0.312 1
```

***

Record 6
Entry from Alexandria: a relaxed RbCdHg2 crystal (GGA-PBE).

Computed properties:
**Theoretical density**: 6.7 g cm⁻³
**Final energy**: -8.64 eV per cell
**ΔE_f**: -9.5 kJ per mole of atoms

The structure in CIF format:
```
data_RbCdHg2
_chemical_formula_sum 'Rb3 Cd3 Hg6'
_space_group_name_H-M_alt 'R 3 m'
_space_group_IT_number 160
_space_group_name_Hall 'R 3 -2"'
_cell_length_a 4.5190
_cell_length_b 4.5190
_cell_length_c 25.0004
_cell_angle_alpha 90.00
_cell_angle_beta 90.00
_cell_angle_gamma 120.00
loop_
_atom_site_label
_atom_site_fract_x
_atom_site_fract_y
_atom_site_fract_z
_atom_site_occupancy
Rb1 0.0000 0.0000 0.0000 1
Cd1 0.0000 0.0000 0.1677 1
Hg1 0.0000 0.0000 0.5657 1
Hg2 0.0000 0.0000 0.7680 1
```